# 1
## La2Tl (PBE-GGA)

Data for a relaxed La2Tl crystal.

Cell lengths 5.3317, 5.3317, 3.8981 Å; angles 90.00, 90.00, 120.00 degrees
Space group P-3m1 (No. 164)
Inequivalent atoms, fractional coordinates:
La (0.3333, 0.6667, 0.1841) [2 per cell]
Tl (0.0000, 0.0000, 0.5000) [1 per cell]

ΔH_f (0 K) = -0.230 eV per atom
Calculated total energy = -4.303 eV/atom
M_tot = 0.00 μB/f.u.
Crystal system = trigonal

***

# 2
## La4Tl (PBE-GGA)

Data for a relaxed La4Tl crystal.

Cell lengths 6.399, 6.158, 9.432 Å; angles 90.00, 114.95, 90.00 degrees
Space group P2_1/c (No. 14)
Inequivalent atoms, fractional coordinates:
La (0.064, 0.108, 0.194) [4 per cell]
La (0.329, 0.521, 0.106) [4 per cell]
Tl (0.500, 0.000, 0.000) [2 per cell]

Energy relative to the lowest polymorph listed for this composition = 0.037 eV per atom
ΔH_f (0 K) = -0.138 eV per atom
Calculated total energy = -4.553 eV/atom
M_tot = 0.00 μB/f.u.
Crystal system = monoclinic

***

# 3
## La5Tl2 (PBE-GGA)

Data for a relaxed La5Tl2 crystal.

Cell lengths 16.524, 6.099, 9.371 Å; angles 90.00, 97.71, 90.00 degrees
Space group C2/c (No. 15)
Inequivalent atoms, fractional coordinates:
La (0.000, 0.218, 0.250) [4 per cell]
La (0.128, 0.210, 0.954) [8 per cell]
La (0.225, 0.352, 0.321) [8 per cell]
Tl (0.080, 0.304, 0.598) [8 per cell]

ΔH_f (0 K) = -0.242 eV per atom
Calculated total energy = -4.437 eV/atom
M_tot = 0.00 μB/f.u.
Crystal system = monoclinic